# 1
Material: MnSiW
Method: DFT, GGA-PBEsol
State: optimized geometry

a b c (Å): 3.9957 3.9957 2.7548
angles (deg): 90.00 90.00 120.00
Last column: nearest neighbours and their distance in Å.
Space group P-6m2 (No. 187)
Inequivalent atoms, fractional coordinates:
Mn  0.0000  0.0000  0.0000 [1 per cell]  3 Si 2.31
Si  0.3333  0.6667  0.0000 [1 per cell]  3 Mn 2.31
W  0.6667  0.3333  0.5000 [1 per cell]  6 Mn 2.69, 6 Si 2.69, 2 W 2.75

Output
Electronic total energy = -29.835 eV for the cell shown
Formation energy from raw total energies = -0.1733 eV per atom
Calculated density = 11.634 g cm⁻³



# 2
Material: MnSiW2
Method: DFT, GGA-PBEsol
State: optimized geometry

a b c (Å): 6.0003 6.0003 6.0003
angles (deg): 90.00 90.00 90.00
Last column: nearest neighbours and their distance in Å.
Space group F-43m (No. 216)
Inequivalent atoms, fractional coordinates:
Mn  0.0000  0.0000  0.0000 [4 per cell]  4 Si 2.60, 4 W 2.60
Si  0.2500  0.2500  0.7500 [4 per cell]  4 Mn 2.60, 4 W 2.60
W  0.0000  0.0000  0.5000 [4 per cell]  4 W 2.60, 4 Si 2.60
W  0.2500  0.2500  0.2500 [4 per cell]  4 Mn 2.60, 4 W 2.60

Output
Electronic total energy = -171.848 eV for the cell shown
Formation energy from raw total energies = 0.0402 eV per atom
Calculated density = 13.858 g cm⁻³



# 3
Material: MnSiW2
Method: DFT, GGA-PBEsol
State: optimized geometry

a b c (Å): 3.7052 3.7052 8.0088
angles (deg): 90.00 90.00 90.00
Last column: nearest neighbours and their distance in Å.
Space group I4/mmm (No. 139)
Inequivalent atoms, fractional coordinates:
Mn  0.0000  0.0000  0.0000 [2 per cell]  4 Si 2.62, 8 W 2.73
Si  0.0000  0.0000  0.5000 [2 per cell]  4 Mn 2.62, 8 W 2.73
W  0.0000  0.5000  0.2500 [4 per cell]  4 W 2.62, 4 Si 2.73, 4 Mn 2.73

Output
Electronic total energy = -86.138 eV for the cell shown
Formation energy from raw total energies = 0.0135 eV per atom
Calculated density = 13.614 g cm⁻³



# 4
Material: MnSi2W
Method: DFT, GGA-PBEsol
State: optimized geometry

a b c (Å): 3.3454 4.0619 7.8926
angles (deg): 90.00 90.00 90.00
Last column: nearest neighbours and their distance in Å.
Space group Cmm2 (No. 35)
Inequivalent atoms, fractional coordinates:
Mn  0.0000  0.0000  0.0000 [2 per cell]  4 Si 2.36-2.63, 2 W 2.61, 4 Mn 2.63
Si  0.0000  0.0000  0.5081 [2 per cell]  4 W 2.62-2.86, 6 Si 2.63-2.78
Si  0.0000  0.5000  0.7887 [2 per cell]  4 Mn 2.36-2.63, 4 Si 2.63
W  0.0000  0.5000  0.2534 [2 per cell]  4 Mn 2.61-2.85, 4 Si 2.62-2.86, 4 W 2.63

Output
Electronic total energy = -69.275 eV for the cell shown
Formation energy from raw total energies = 0.1062 eV per atom
Calculated density = 9.133 g cm⁻³



# 5
Material: Mn3SiW2
Method: DFT, GGA-PBEsol
State: optimized geometry

a b c (Å): 4.7238 4.7238 7.6433
angles (deg): 90.00 90.00 120.00
Last column: nearest neighbours and their distance in Å.
Space group P6_3/mmc (No. 194)
Inequivalent atoms, fractional coordinates:
Mn  0.1717  0.3434  0.2500 [6 per cell]  4 Mn 2.29-2.43, 2 Si 2.37
Si  0.0000  0.0000  0.0000 [2 per cell]  6 Mn 2.37
W  0.3333  0.6667  0.5631 [4 per cell]  9 Mn 2.73-2.76, 3 Si 2.77, 4 W 2.86-2.89

Output
Electronic total energy = -128.288 eV for the cell shown
Formation energy from raw total energies = -0.2498 eV per atom
Calculated density = 12.604 g cm⁻³



# 6
Material: MnSiW2
Method: DFT, GGA-PBEsol
State: optimized geometry

a b c (Å): 5.4531 6.5549 3.0651
angles (deg): 90.00 90.00 90.00
Last column: nearest neighbours and their distance in Å.
Space group Cmmm (No. 65)
Inequivalent atoms, fractional coordinates:
Mn  0.0000  0.0000  0.0000 [2 per cell]  8 W 2.63, 2 Si 2.73
Si  0.0000  0.5000  0.0000 [2 per cell]  8 W 2.63, 2 Mn 2.73
W  0.2500  0.2500  0.5000 [4 per cell]  4 Mn 2.63, 4 Si 2.63, 2 W 2.73

Output
Electronic total energy = -85.479 eV for the cell shown
Formation energy from raw total energies = 0.0959 eV per atom
Calculated density = 13.662 g cm⁻³



# 7
Material: MnSi4W
Method: DFT, GGA-PBEsol
State: optimized geometry

a b c (Å): 6.7344 6.7344 6.7344
angles (deg): 90.00 90.00 90.00
Last column: nearest neighbours and their distance in Å.
Space group F-43m (No. 216)
Inequivalent atoms, fractional coordinates:
Mn  0.0000  0.0000  0.0000 [4 per cell]  12 Si 2.79, 4 W 2.92
Si  0.1252  0.1252  0.3748 [16 per cell]  6 Si 2.38
W  0.2500  0.2500  0.7500 [4 per cell]  12 Si 2.79, 4 Mn 2.92

Output
Electronic total energy = -177.704 eV for the cell shown
Formation energy from raw total energies = 0.3549 eV per atom
Calculated density = 7.636 g cm⁻³



# 8
Material: MnSiW3
Method: DFT, GGA-PBEsol
State: optimized geometry

a b c (Å): 4.4002 4.4002 4.4002
angles (deg): 90.00 90.00 90.00
Last column: nearest neighbours and their distance in Å.
Space group Pm-3m (No. 221)
Inequivalent atoms, fractional coordinates:
Mn  0.0000  0.0000  0.0000 [1 per cell]  6 W 2.20
Si  0.5000  0.5000  0.5000 [1 per cell]  12 W 3.11
W  0.0000  0.0000  0.5000 [3 per cell]  2 Mn 2.20

Output
Electronic total energy = -49.471 eV for the cell shown
Formation energy from raw total energies = 1.4918 eV per atom
Calculated density = 12.368 g cm⁻³



# 9
Material: YMn2Si2
Method: DFT, GGA-PBEsol
State: optimized geometry

a b c (Å): 3.8447 3.8447 10.2264
angles (deg): 90.00 90.00 90.00
Last column: nearest neighbours and their distance in Å.
Space group I4/mmm (No. 139)
Inequivalent atoms, fractional coordinates:
Y  0.0000  0.0000  0.0000 [2 per cell]  8 Si 2.98, 8 Mn 3.20
Mn  0.0000  0.5000  0.2500 [4 per cell]  4 Si 2.33
Si  0.0000  0.0000  0.3795 [4 per cell]  4 Mn 2.33, 1 Si 2.46

Output
Electronic total energy = -82.105 eV for the cell shown
Formation energy from raw total energies = -0.6430 eV per atom
Calculated density = 5.601 g cm⁻³



# 10
Material: Y2Mn3Si5
Method: DFT, GGA-PBEsol
State: optimized geometry

a b c (Å): 10.4585 10.4585 5.3646
angles (deg): 90.00 90.00 90.00
Last column: nearest neighbours and their distance in Å.
Space group P4/mnc (No. 128)
Inequivalent atoms, fractional coordinates:
Y  0.0758  0.2362  0.0000 [8 per cell]  7 Si 2.75-3.01, 2 Mn 3.03
Mn  0.0000  0.5000  0.2500 [4 per cell]  6 Si 2.37-2.58
Mn  0.1213  0.8536  0.5000 [8 per cell]  6 Si 2.33-2.39
Si  0.0000  0.0000  0.2604 [4 per cell]  4 Mn 2.37, 1 Si 2.57
Si  0.0248  0.3149  0.5000 [8 per cell]  4 Mn 2.33-2.39, 2 Si 2.48
Si  0.1741  0.6741  0.2500 [8 per cell]  3 Mn 2.37-2.58, 2 Si 2.48

Output
Electronic total energy = -314.690 eV for the cell shown
Formation energy from raw total energies = -0.7011 eV per atom
Calculated density = 5.468 g cm⁻³



# 11
Material: MnZn2Si
Method: DFT, GGA-PBEsol
State: optimized geometry

a b c (Å): 2.6902 2.6902 24.8038
angles (deg): 90.00 90.00 120.00
Last column: nearest neighbours and their distance in Å.
Space group R3m (No. 160, hexagonal axes)
Inequivalent atoms, fractional coordinates:
Mn  0.0000  0.0000  0.0000 [3 per cell]  3 Si 2.40, 3 Zn 2.58
Zn  0.0000  0.0000  0.2503 [3 per cell]  3 Mn 2.58, 9 Zn 2.69
Zn  0.0000  0.0000  0.4952 [3 per cell]  3 Si 2.69, 9 Zn 2.69
Si  0.0000  0.0000  0.7403 [3 per cell]  3 Mn 2.40

Output
Electronic total energy = -55.507 eV for the cell shown
Formation energy from raw total energies = 0.0423 eV per atom
Calculated density = 6.852 g cm⁻³



# 12
Material: MnZn2Si
Method: DFT, GGA-PBEsol
State: optimized geometry

a b c (Å): 5.0060 9.2228 2.6147
angles (deg): 90.00 120.60 90.00
Last column: nearest neighbours and their distance in Å.
Space group C2/m (No. 12)
Inequivalent atoms, fractional coordinates:
Mn  0.0000  0.0000  0.0000 [2 per cell]  4 Si 2.50-2.54, 2 Mn 2.61, 4 Zn 2.62
Zn  0.2500  0.2500  0.0000 [4 per cell]  6 Zn 2.50-2.61, 2 Mn 2.62, 2 Si 2.62
Si  0.0000  0.5000  0.0000 [2 per cell]  4 Mn 2.50-2.54, 2 Si 2.61, 4 Zn 2.62

Output
Electronic total energy = -37.061 eV for the cell shown
Formation energy from raw total energies = 0.0353 eV per atom
Calculated density = 6.834 g cm⁻³



# 13
Material: Zr2MnSi2
Method: DFT, GGA-PBEsol
State: optimized geometry

a b c (Å): 6.3278 6.3278 3.9921
angles (deg): 90.00 90.00 90.00
Last column: nearest neighbours and their distance in Å.
Space group P4/mbm (No. 127)
Inequivalent atoms, fractional coordinates:
Zr  0.1729  0.3271  0.0000 [4 per cell]  6 Si 2.63-2.80
Mn  0.0000  0.0000  0.5000 [2 per cell]  4 Si 2.46
Si  0.1353  0.6353  0.5000 [4 per cell]  1 Si 2.42, 2 Mn 2.46, 2 Zr 2.63

Output
Electronic total energy = -86.522 eV for the cell shown
Formation energy from raw total energies = -0.7654 eV per atom
Calculated density = 6.099 g cm⁻³



# 14
Material: Zr2MnSi
Method: DFT, GGA-PBEsol
State: optimized geometry

a b c (Å): 3.1304 4.4215 9.5405
angles (deg): 90.00 90.00 90.00
Last column: nearest neighbours and their distance in Å.
Space group Imm2 (No. 44)
Inequivalent atoms, fractional coordinates:
Zr  0.0000  0.0000  0.0000 [2 per cell]  4 Mn 2.71, 2 Si 2.92
Zr  0.0000  0.5000  0.2228 [2 per cell]  2 Mn 2.69, 4 Si 2.81
Mn  0.0000  0.0000  0.4934 [2 per cell]  2 Si 2.42, 2 Zr 2.69
Si  0.0000  0.5000  0.8005 [2 per cell]  2 Mn 2.42

Output
Electronic total energy = -70.018 eV for the cell shown
Formation energy from raw total energies = -0.3304 eV per atom
Calculated density = 6.677 g cm⁻³



# 15
Material: Zr2MnSi
Method: DFT, GGA-PBEsol
State: optimized geometry

a b c (Å): 3.2457 3.4480 5.8993
angles (deg): 90.00 90.00 90.00
Last column: nearest neighbours and their distance in Å.
Space group Pmmm (No. 47)
Inequivalent atoms, fractional coordinates:
Zr  0.0000  0.0000  0.2475 [2 per cell]  4 Mn 2.78, 4 Si 2.80, 2 Zr 2.92-2.98
Mn  0.5000  0.5000  0.0000 [1 per cell]  8 Zr 2.78, 2 Si 2.95
Si  0.5000  0.5000  0.5000 [1 per cell]  8 Zr 2.80, 2 Mn 2.95

Output
Electronic total energy = -34.979 eV for the cell shown
Formation energy from raw total energies = -0.3230 eV per atom
Calculated density = 6.677 g cm⁻³



# 16
Material: Zr2MnSi
Method: DFT, GGA-PBEsol
State: optimized geometry

a b c (Å): 3.8247 3.5738 9.9529
angles (deg): 90.00 90.00 90.00
Last column: nearest neighbours and their distance in Å.
Space group Amm2 (No. 38)
Inequivalent atoms, fractional coordinates:
Zr  0.0000  0.0000  0.0000 [2 per cell]  4 Si 2.71, 3 Mn 2.73-2.87
Zr  0.5000  0.0000  0.2853 [2 per cell]  4 Mn 2.68, 3 Si 2.77-2.86
Mn  0.0000  0.0000  0.7259 [2 per cell]  2 Si 2.45, 5 Zr 2.68-2.73
Si  0.5000  0.0000  0.5724 [2 per cell]  2 Mn 2.45, 4 Zr 2.71

Output
Electronic total energy = -71.498 eV for the cell shown
Formation energy from raw total energies = -0.5154 eV per atom
Calculated density = 6.481 g cm⁻³



# 17
Material: SmMn6Sn6
Method: DFT, GGA-PBEsol
State: optimized geometry

a b c (Å): 5.3844 5.3844 8.8482
angles (deg): 90.00 90.00 120.00
Last column: nearest neighbours and their distance in Å.
Space group P6/mmm (No. 191)
Inequivalent atoms, fractional coordinates:
Sm  0.0000  0.0000  0.0000 [1 per cell]  8 Sn 2.97-3.11
Mn  0.0000  0.5000  0.2488 [6 per cell]  4 Mn 2.69, 6 Sn 2.70-2.80
Sn  0.0000  0.0000  0.3352 [2 per cell]  6 Mn 2.80, 1 Sn 2.92, 1 Sm 2.97
Sn  0.3333  0.6667  0.0000 [2 per cell]  6 Mn 2.70
Sn  0.3333  0.6667  0.5000 [2 per cell]  6 Mn 2.71

Output
Electronic total energy = -90.847 eV for the cell shown
ΔH_f (0 K) = -126 meV per atom
Calculated density = 8.911 g cm⁻³



# 18
Material: Mn3Sn2
Method: DFT, GGA-PBEsol
State: optimized geometry

a b c (Å): 7.2541 5.2734 8.2444
angles (deg): 90.00 90.00 90.00
Last column: nearest neighbours and their distance in Å.
Space group Pnma (No. 62)
Inequivalent atoms, fractional coordinates:
Mn  0.0879  0.2500  0.1181 [4 per cell]  5 Sn 2.58-2.65, 6 Mn 2.63-2.79
Mn  0.2302  0.5106  0.8736 [8 per cell]  5 Mn 2.53-2.79, 5 Sn 2.62-2.77
Sn  0.0580  0.7500  0.5924 [4 per cell]  6 Mn 2.58-2.74
Sn  0.1011  0.7500  0.1481 [4 per cell]  9 Mn 2.59-2.77

Output
Electronic total energy = -148.815 eV for the cell shown
ΔH_f (0 K) = 120 meV per atom
Calculated density = 8.472 g cm⁻³



# 19
Material: Sr3MnSn
Method: DFT, GGA-PBEsol
State: optimized geometry

a b c (Å): 5.6187 5.6187 5.6187
angles (deg): 90.00 90.00 90.00
Last column: nearest neighbours and their distance in Å.
Space group Pm-3m (No. 221)
Inequivalent atoms, fractional coordinates:
Sr  0.0000  0.0000  0.5000 [3 per cell]  2 Mn 2.81
Mn  0.0000  0.0000  0.0000 [1 per cell]  6 Sr 2.81
Sn  0.5000  0.5000  0.5000 [1 per cell]  12 Sr 3.97

Output
Electronic total energy = -17.579 eV for the cell shown
ΔH_f (0 K) = 393 meV per atom
Calculated density = 4.086 g cm⁻³



# 20
Material: TaMn3Sn
Method: DFT, GGA-PBEsol
State: optimized geometry

a b c (Å): 4.6747 4.6747 4.6747
angles (deg): 90.00 90.00 90.00
Last column: nearest neighbours and their distance in Å.
Space group Pm-3m (No. 221)
Inequivalent atoms, fractional coordinates:
Ta  0.0000  0.0000  0.0000 [1 per cell]  12 Mn 3.31
Mn  0.0000  0.5000  0.5000 [3 per cell]  2 Sn 2.34
Sn  0.5000  0.5000  0.5000 [1 per cell]  6 Mn 2.34

Output
Electronic total energy = -37.480 eV for the cell shown
ΔH_f (0 K) = 1723 meV per atom
Calculated density = 7.550 g cm⁻³